(1)
The following is a DFT calculation (GGA-PBE) of BaPuMoN4 after structural relaxation.

Summary:
**VASP energy**: -131.16 eV/cell

a = 6.040 Å, b = 5.949 Å, c = 7.484 Å
α = 90.00°, β = 107.63°, γ = 90.00°
Last column: magnetic moment on the atom in μB.
Fractional coordinates of all 14 atoms:
1 Ba 0.712 0.750 0.929  0.01
2 Ba 0.288 0.250 0.071  0.01
3 Pu 0.804 0.750 0.456  4.34
4 Pu 0.196 0.250 0.544  4.34
5 Mo 0.261 0.750 0.337  0.13
6 Mo 0.739 0.250 0.663  0.13
7 N 0.952 0.492 0.683  -0.14
8 N 0.048 0.992 0.317  -0.14
9 N 0.048 0.508 0.317  -0.14
10 N 0.952 0.008 0.683  -0.14
11 N 0.455 0.750 0.184  -0.08
12 N 0.545 0.250 0.816  -0.08
13 N 0.482 0.750 0.566  -0.12
14 N 0.518 0.250 0.434  -0.12

---

(2)
The following is a DFT calculation (GGA-PBE) of Ba2PuMo2N6 after structural relaxation.

Summary:
**VASP energy**: -97.68 eV/cell

a = 6.198 Å, b = 6.198 Å, c = 7.096 Å
α = 64.10°, β = 64.10°, γ = 60.00°
Last column: magnetic moment on the atom in μB.
Fractional coordinates of all 11 atoms:
1 Ba 0.782 0.782 0.655  0.01
2 Ba 0.218 0.218 0.345  0.01
3 Pu 0.000 0.000 0.000  3.99
4 Mo 0.428 0.428 0.717  0.14
5 Mo 0.572 0.572 0.283  0.14
6 N 0.759 0.759 0.232  -0.07
7 N 0.250 0.759 0.232  -0.07
8 N 0.759 0.250 0.232  -0.07
9 N 0.241 0.750 0.768  -0.07
10 N 0.750 0.241 0.768  -0.07
11 N 0.241 0.241 0.768  -0.07

---

(3)
The following is a DFT calculation (GGA-PBE) of Ba2MoRhN after structural relaxation.

Summary:
**VASP energy**: -28.22 eV/cell

a = 5.909 Å, b = 3.787 Å, c = 5.909 Å
α = 90.00°, β = 90.00°, γ = 90.00°
Last column: magnetic moment on the atom in μB.
Fractional coordinates of all 5 atoms:
1 Mo 0.500 0.500 0.500  3.06
2 Rh 0.000 0.500 0.000  0.09
3 Ba 0.000 0.000 0.500  0.01
4 Ba 0.500 0.000 0.000  0.03
5 N 0.000 0.000 0.000  0.03